# Rb3V2Cl2F5 | the Alexandria database | PBE+U | optimized geometry
# Total magnetic moment: 12.00 μB per cell
# Total DFT energy (no corrections): -60.1 eV per formula unit
data_Rb3V2Cl2F5
_chemical_formula_sum 'Rb6 V4 Cl4 F10'
_space_group_name_H-M_alt 'I 4/m m m'
_space_group_IT_number 139
_space_group_name_Hall '-I 4 2'
_cell_length_a 4.389
_cell_length_b 4.389
_cell_length_c 24.676
_cell_angle_alpha 90.00
_cell_angle_beta 90.00
_cell_angle_gamma 90.00
loop_
_atom_site_label
_atom_site_type_symbol
_atom_site_fract_x
_atom_site_fract_y
_atom_site_fract_z
Rb1 Rb 0.000 0.000 0.000
Rb2 Rb 0.000 0.000 0.171
V1 V 0.000 0.000 0.414
Cl1 Cl 0.000 0.000 0.311
F1 F 0.000 0.000 0.500
F2 F 0.000 0.500 0.084